The following is a PBE calculation of an optimized crystal structure of LiPr2Sm2, from the Alexandria database.

abc: 9.5332 9.5332 9.5332
angles: 152.92 152.92 38.67
Closest atoms and distances in Å follow each position.
Fractional positions:
Li  0.0000  0.0000  0.0000  8 Pr 3.55
Pr  0.4095  0.4095  0.0000  1 Pr 3.26, 4 Li 3.55, 4 Sm 3.63
Pr  0.5905  0.5905  0.0000  1 Pr 3.26, 4 Li 3.55, 4 Sm 3.63
Sm  0.2500  0.7500  0.5000  4 Sm 3.16
Sm  0.7500  0.2500  0.5000  4 Sm 3.16

The following is a PBE calculation of an optimized crystal structure of LiPr2Sm, from the Alexandria database.

Excess energy over the best structure of this formula in the dataset = 0.063 eV per atom

abc: 3.5929 3.5929 12.0704
angles: 90.00 90.00 120.00
Closest atoms and distances in Å follow each position.
Fractional positions:
Li  0.0000  0.0000  0.0000  4 Pr 3.29-3.53, 6 Li 3.59
Pr  0.0000  0.0000  0.7273  1 Li 3.29, 6 Pr 3.59, 3 Sm 3.59
Pr  0.6667  0.3333  0.2369  3 Li 3.53, 6 Pr 3.59, 3 Sm 3.63
Sm  0.3333  0.6667  0.4842  6 Sm 3.59, 6 Pr 3.59-3.63

The following is a PBE calculation of an optimized crystal structure of LiPr5Sm4, from the Alexandria database.

abc: 3.6778 3.6778 24.9834
angles: 90.00 90.00 90.00
Closest atoms and distances in Å follow each position.
Fractional positions:
Li  0.0000  0.0000  0.0000  8 Pr 3.37, 4 Li 3.68
Pr  0.5000  0.5000  0.0859  4 Li 3.37, 4 Sm 3.63, 4 Pr 3.68
Pr  0.5000  0.5000  0.2918  4 Pr 3.68, 8 Sm 3.68
Pr  0.5000  0.5000  0.5000  8 Sm 3.68, 4 Pr 3.68
Pr  0.5000  0.5000  0.7082  4 Pr 3.68, 8 Sm 3.68
Pr  0.5000  0.5000  0.9141  4 Li 3.37, 4 Sm 3.63, 4 Pr 3.68
Sm  0.0000  0.0000  0.1875  8 Pr 3.63-3.68, 4 Sm 3.68
Sm  0.0000  0.0000  0.3960  8 Pr 3.68, 4 Sm 3.68
Sm  0.0000  0.0000  0.6040  8 Pr 3.68, 4 Sm 3.68
Sm  0.0000  0.0000  0.8125  8 Pr 3.63-3.68, 4 Sm 3.68

The following is a PBE calculation of an optimized crystal structure of LiPr2Sm, from the Alexandria database.

Excess energy over the best structure of this formula in the dataset = 0.000 eV per atom

abc: 3.6912 3.6912 9.3118
angles: 90.00 90.00 90.00
Closest atoms and distances in Å follow each position.
Fractional positions:
Li  0.0000  0.0000  0.0000  8 Pr 3.36, 4 Li 3.69
Pr  0.5000  0.5000  0.2268  4 Li 3.36, 4 Sm 3.65, 4 Pr 3.69
Pr  0.5000  0.5000  0.7732  4 Li 3.36, 4 Sm 3.65, 4 Pr 3.69
Sm  0.0000  0.0000  0.5000  8 Pr 3.65, 4 Sm 3.69

The following is a PBE calculation of an optimized crystal structure of Li4PrSm, from the Alexandria database.

abc: 5.9595 5.9595 5.9595
angles: 60.00 60.00 60.00
Closest atoms and distances in Å follow each position.
Fractional positions:
Li  0.1247  0.1247  0.1247  6 Li 2.97-2.99
Li  0.1247  0.1247  0.6258  6 Li 2.97-2.99
Li  0.1247  0.6258  0.1247  6 Li 2.97-2.99
Li  0.6258  0.1247  0.1247  6 Li 2.97-2.99
Pr  0.5000  0.5000  0.5000  12 Li 3.49, 4 Sm 3.65
Sm  0.7500  0.7500  0.7500  12 Li 3.49, 4 Pr 3.65

The following is a PBE calculation of an optimized crystal structure of LiPr12Sm3, from the Alexandria database.

abc: 5.1975 5.1975 20.7002
angles: 90.00 90.00 90.00
Closest atoms and distances in Å follow each position.
Fractional positions:
Li  0.0000  0.0000  0.0000  12 Pr 3.63-3.68
Pr  0.0000  0.5000  0.1221  8 Pr 3.63-3.68, 2 Li 3.63, 2 Sm 3.65
Pr  0.0000  0.5000  0.3734  8 Pr 3.68-3.73, 4 Sm 3.69-3.70
Pr  0.0000  0.5000  0.6266  8 Pr 3.68-3.73, 4 Sm 3.69-3.70
Pr  0.0000  0.5000  0.8779  8 Pr 3.63-3.68, 2 Li 3.63, 2 Sm 3.65
Pr  0.5000  0.0000  0.1221  8 Pr 3.63-3.68, 2 Li 3.63, 2 Sm 3.65
Pr  0.5000  0.0000  0.3734  8 Pr 3.68-3.73, 4 Sm 3.69-3.70
Pr  0.5000  0.0000  0.6266  8 Pr 3.68-3.73, 4 Sm 3.69-3.70
Pr  0.5000  0.0000  0.8779  8 Pr 3.63-3.68, 2 Li 3.63, 2 Sm 3.65
Pr  0.5000  0.5000  0.0000  8 Pr 3.63, 4 Li 3.68
Pr  0.5000  0.5000  0.2444  8 Pr 3.63-3.73, 4 Sm 3.68
Pr  0.5000  0.5000  0.5000  4 Sm 3.68, 8 Pr 3.69
Pr  0.5000  0.5000  0.7556  8 Pr 3.63-3.73, 4 Sm 3.68
Sm  0.0000  0.0000  0.2461  12 Pr 3.65-3.70
Sm  0.0000  0.0000  0.5000  12 Pr 3.68-3.69
Sm  0.0000  0.0000  0.7539  12 Pr 3.65-3.70

The following is a PBE calculation of an optimized crystal structure of LiPr2Sm, from the Alexandria database.

Excess energy over the best structure of this formula in the dataset = 0.113 eV per atom

abc: 5.6665 5.6665 5.6665
angles: 60.00 60.00 60.00
Closest atoms and distances in Å follow each position.
Fractional positions:
Li  0.0000  0.0000  0.0000  8 Pr 3.47
Pr  0.2500  0.2500  0.2500  4 Li 3.47, 4 Sm 3.47
Pr  0.7500  0.7500  0.7500  4 Sm 3.47, 4 Li 3.47
Sm  0.5000  0.5000  0.5000  8 Pr 3.47

The following is a PBE calculation of an optimized crystal structure of LiPrSm, from the Alexandria database.

Excess energy over the best structure of this formula in the dataset = 0.153 eV per atom

abc: 6.8569 6.8569 9.6807
angles: 116.48 116.48 28.93
Closest atoms and distances in Å follow each position.
Fractional positions:
Li  0.1301  0.1301  0.4904  3 Sm 3.40-3.45, 5 Li 3.43-3.55, 2 Pr 3.44-3.46
Li  0.8699  0.8699  0.5096  3 Sm 3.40-3.45, 5 Li 3.43-3.55, 2 Pr 3.44-3.46
Pr  0.1240  0.1240  0.8440  4 Pr 3.43-3.73, 2 Li 3.44-3.46, 5 Sm 3.48-3.65
Pr  0.8760  0.8760  0.1560  4 Pr 3.43-3.73, 2 Li 3.44-3.46, 5 Sm 3.48-3.65
Sm  0.3795  0.3795  0.8252  3 Li 3.40-3.45, 3 Sm 3.42-3.43, 5 Pr 3.48-3.65
Sm  0.6205  0.6205  0.1748  3 Li 3.40-3.45, 3 Sm 3.42-3.43, 5 Pr 3.48-3.65

The following is a PBE calculation of an optimized crystal structure of LiPr8Sm5, from the Alexandria database.

abc: 8.6394 8.6394 8.6394
angles: 110.83 110.83 106.78
Closest atoms and distances in Å follow each position.
Fractional positions:
Li  0.0000  0.0000  0.0000  4 Pr 3.11
Pr  0.0772  0.6885  0.7766  1 Li 3.11, 2 Sm 3.26-3.43
Pr  0.1741  0.2770  0.7603  5 Sm 3.44-3.71, 4 Pr 3.62-3.85
Pr  0.3115  0.0882  0.3887  1 Li 3.11, 2 Sm 3.26-3.43
Pr  0.5167  0.4137  0.2397  5 Sm 3.44-3.71, 4 Pr 3.62-3.85
Pr  0.5863  0.8259  0.1029  5 Sm 3.44-3.71, 4 Pr 3.62-3.85
Pr  0.6994  0.9228  0.6113  1 Li 3.11, 2 Sm 3.26-3.43
Pr  0.7230  0.4833  0.8971  5 Sm 3.44-3.71, 4 Pr 3.62-3.85
Pr  0.9118  0.3006  0.2234  1 Li 3.11, 2 Sm 3.26-3.43
Sm  0.2259  0.6223  0.1951  8 Pr 3.43-3.71, 2 Sm 3.53
Sm  0.3777  0.5728  0.6036  8 Pr 3.43-3.71, 2 Sm 3.53
Sm  0.4272  0.0308  0.8049  8 Pr 3.43-3.71, 2 Sm 3.53
Sm  0.7500  0.2500  0.5000  8 Pr 3.26-3.44
Sm  0.9692  0.7741  0.3964  8 Pr 3.43-3.71, 2 Sm 3.53

The following is a PBE calculation of an optimized crystal structure of LiPr2Sm, from the Alexandria database.

Excess energy over the best structure of this formula in the dataset = 0.025 eV per atom

abc: 11.6923 11.6923 11.6923
angles: 17.90 17.90 17.90
Closest atoms and distances in Å follow each position.
Fractional positions:
Li  0.0000  0.0000  0.0000  6 Pr 3.48-3.49, 6 Li 3.64
Pr  0.4137  0.4137  0.4137  3 Li 3.48, 3 Sm 3.63, 6 Pr 3.64
Pr  0.5858  0.5858  0.5858  3 Li 3.49, 6 Pr 3.64, 3 Sm 3.64
Sm  0.8329  0.8329  0.8329  6 Pr 3.63-3.64, 6 Sm 3.64

The following is a PBE calculation of an optimized crystal structure of LiPrSm, from the Alexandria database.

Excess energy over the best structure of this formula in the dataset = 0.040 eV per atom

abc: 6.8625 6.8625 6.8625
angles: 148.02 148.02 45.85
Closest atoms and distances in Å follow each position.
Fractional positions:
Li  0.0000  0.0000  0.0000  4 Sm 3.27, 4 Pr 3.32
Pr  0.6555  0.6555  0.0000  4 Li 3.32, 4 Sm 3.64
Sm  0.3507  0.3507  0.0000  4 Li 3.27, 4 Pr 3.64

The following is a PBE calculation of an optimized crystal structure of LiPr6Sm, from the Alexandria database.

abc: 9.4838 9.4838 9.4838
angles: 145.35 145.35 49.81
Closest atoms and distances in Å follow each position.
Fractional positions:
Li  0.0000  0.0000  0.0000  8 Pr 3.43
Pr  0.1132  0.6132  0.5000  2 Li 3.43, 2 Sm 3.43, 4 Pr 3.61-3.75
Pr  0.2563  0.2563  0.0000  12 Pr 3.61-4.00
Pr  0.3868  0.8868  0.5000  2 Li 3.43, 2 Sm 3.43, 4 Pr 3.61-3.75
Pr  0.6132  0.1132  0.5000  2 Li 3.43, 2 Sm 3.43, 4 Pr 3.61-3.75
Pr  0.7437  0.7437  0.0000  12 Pr 3.61-4.00
Pr  0.8868  0.3868  0.5000  2 Li 3.43, 2 Sm 3.43, 4 Pr 3.61-3.75
Sm  0.5000  0.5000  0.0000  8 Pr 3.43

The following is a PBE calculation of an optimized crystal structure of LiPrSm, from the Alexandria database.

Excess energy over the best structure of this formula in the dataset = 0.000 eV per atom

abc: 3.6851 3.6851 13.2644
angles: 90.24 90.24 90.11
Closest atoms and distances in Å follow each position.
Fractional positions:
Li  0.2482  0.2482  0.0492  4 Li 2.89-2.94
Li  0.7518  0.7518  0.9508  4 Li 2.89-2.94
Pr  0.2526  0.2526  0.7849  5 Li 3.40-3.51, 4 Sm 3.61-3.62, 4 Pr 3.69
Pr  0.7474  0.7474  0.2151  5 Li 3.40-3.51, 4 Sm 3.61-3.62, 4 Pr 3.69
Sm  0.2491  0.2491  0.4040  4 Pr 3.61-3.62, 8 Sm 3.64-3.69
Sm  0.7509  0.7509  0.5960  4 Pr 3.61-3.62, 8 Sm 3.64-3.69

The following is a PBE calculation of an optimized crystal structure of Li2PrSm, from the Alexandria database.

abc: 5.3971 5.3971 5.3971
angles: 60.00 60.00 60.00
Closest atoms and distances in Å follow each position.
Fractional positions:
Li  0.2500  0.2500  0.2500  4 Sm 3.31, 4 Pr 3.31
Li  0.7500  0.7500  0.7500  4 Pr 3.31, 4 Sm 3.31
Pr  0.0000  0.0000  0.0000  8 Li 3.31
Sm  0.5000  0.5000  0.5000  8 Li 3.31

no.,DFT formation energy (eV per atom)
1,0.4261
2,0.1200
3,0.0293
4,0.0573
5,0.1015
6,0.0421
7,0.1700
8,0.1925
9,0.2203
10,0.0821
11,0.0794
12,0.1174
13,0.0393
14,0.1510